Record 1
Computed, not measured: a relaxed structure of LuScHg at the PBE level of DFT.

Formation energy from the elements in meV/atom: 350
E in eV per atom: -3.366
Space-group type: F-43m (216)

Cell lengths 4.8339, 4.8339, 4.8339 Å; angles 60.00, 60.00, 60.00 degrees
Closest atoms and distances in Å follow each position.
Fractional positions:
Hg1 0.2500 0.2500 0.2500  4 Sc 2.96
Lu1 0.7500 0.7500 0.7500  4 Sc 2.96
Sc1 0.0000 0.0000 0.0000  4 Lu 2.96, 4 Hg 2.96

Record 2
Computed, not measured: a relaxed structure of Ta4AlCdC2 at the PBE level of DFT.

E in eV per atom: -9.235
Space-group type: P-6m2 (187)

Cell lengths 3.1290, 3.1290, 14.2762 Å; angles 90.00, 90.00, 120.00 degrees
Closest atoms and distances in Å follow each position.
Fractional positions:
Al1 0.6667 0.3333 0.5000  6 Ta 2.87, 6 Al 3.13
C1 0.3333 0.6667 0.2568  6 Ta 2.17-2.19
C2 0.3333 0.6667 0.7432  6 Ta 2.17-2.19
Cd1 0.0000 0.0000 0.0000  6 Ta 3.06, 6 Cd 3.13
Ta1 0.6667 0.3333 0.1732  3 C 2.17
Ta2 0.0000 0.0000 0.3441  3 C 2.19
Ta3 0.0000 0.0000 0.6559  3 C 2.19
Ta4 0.6667 0.3333 0.8268  3 C 2.17

Record 3
Computed, not measured: a relaxed structure of LuNbFeSi at the PBE level of DFT.

Offset from the most stable computed form in meV/atom: 89.5
E in eV per atom: -6.877
Space-group type: F-43m (216)

Cell lengths 4.5025, 4.5025, 4.5025 Å; angles 60.00, 60.00, 60.00 degrees
Closest atoms and distances in Å follow each position.
Fractional positions:
Fe1 0.7500 0.7500 0.7500  4 Nb 2.76, 4 Si 2.76
Lu1 0.2500 0.2500 0.2500  4 Nb 2.76, 4 Si 2.76
Nb1 0.5000 0.5000 0.5000  4 Lu 2.76, 4 Fe 2.76
Si1 0.0000 0.0000 0.0000  4 Fe 2.76, 4 Lu 2.76

Record 4
Computed, not measured: a relaxed structure of Dy5Ga2Pb at the PBE level of DFT.

E in eV per atom: -4.616
Space-group type: I4/mcm (140)

Cell lengths 8.8547, 8.8547, 8.8547 Å; angles 126.82, 126.82, 78.54 degrees
Closest atoms and distances in Å follow each position.
Fractional positions:
Dy1 0.0000 0.0000 0.0000  4 Ga 3.09, 2 Pb 3.43
Dy2 0.5000 0.5000 0.0000  4 Ga 3.09, 2 Pb 3.43
Dy3 0.1975 0.6975 0.1803  3 Ga 3.02-3.05, 2 Pb 3.32
Dy4 0.4827 0.9827 0.1803  3 Ga 3.02-3.05, 2 Pb 3.32
Dy5 0.0173 0.1975 0.5000  3 Ga 3.02-3.05, 2 Pb 3.32
Dy6 0.3025 0.4827 0.5000  3 Ga 3.02-3.05, 2 Pb 3.32
Dy7 0.6975 0.5173 0.5000  3 Ga 3.02-3.05, 2 Pb 3.32
Dy8 0.9827 0.8025 0.5000  3 Ga 3.02-3.05, 2 Pb 3.32
Dy9 0.5173 0.0173 0.8197  3 Ga 3.02-3.05, 2 Pb 3.32
Dy10 0.8025 0.3025 0.8197  3 Ga 3.02-3.05, 2 Pb 3.32
Ga1 0.8657 0.3657 0.2313  1 Ga 3.01, 8 Dy 3.02-3.09
Ga2 0.3657 0.1343 0.5000  1 Ga 3.01, 8 Dy 3.02-3.09
Ga3 0.6343 0.8657 0.5000  1 Ga 3.01, 8 Dy 3.02-3.09
Ga4 0.1343 0.6343 0.7687  1 Ga 3.01, 8 Dy 3.02-3.09
Pb1 0.2500 0.2500 0.0000  10 Dy 3.32-3.43
Pb2 0.7500 0.7500 0.0000  10 Dy 3.32-3.43

Record 5
Computed, not measured: a relaxed structure of TaNbFeSb at the PBE level of DFT.

Offset from the most stable computed form in meV/atom: 0.0
E in eV per atom: -8.391
Space-group type: F-43m (216)

Cell lengths 4.5637, 4.5637, 4.5637 Å; angles 60.00, 60.00, 60.00 degrees
Closest atoms and distances in Å follow each position.
Fractional positions:
Fe1 0.7500 0.7500 0.7500  4 Sb 2.79, 4 Ta 2.79
Nb1 0.2500 0.2500 0.2500  4 Ta 2.79, 4 Sb 2.79
Sb1 0.0000 0.0000 0.0000  4 Fe 2.79, 4 Nb 2.79
Ta1 0.5000 0.5000 0.5000  4 Nb 2.79, 4 Fe 2.79

Record 6
Computed, not measured: a relaxed structure of PrNd2SmSe3O4 at the PBE level of DFT.

E in eV per atom: -7.237
Space-group type: Amm2 (38)

Cell lengths 8.4369, 6.7771, 6.7771 Å; angles 34.37, 90.00, 90.00 degrees
Closest atoms and distances in Å follow each position.
Fractional positions:
Nd1 0.2386 0.6841 0.6841  4 O 2.36-2.38
Nd2 0.7614 0.6841 0.6841  4 O 2.36-2.38
O1 0.2473 0.0881 0.0881  1 Sm 2.31, 2 Nd 2.36, 1 Pr 2.38
O2 0.7527 0.0881 0.0881  1 Sm 2.31, 2 Nd 2.36, 1 Pr 2.38
O3 0.0000 0.5895 0.5895  2 Pr 2.32, 2 Nd 2.36
O4 0.5000 0.6142 0.6142  2 Sm 2.35, 2 Nd 2.38
Pr1 0.0000 0.9994 0.9994  4 O 2.32-2.38
Se1 0.0000 0.3116 0.3116  2 Se 3.02, 2 Pr 3.15, 4 Nd 3.28
Se2 0.3512 0.3582 0.3582  1 Se 2.51
Se3 0.6488 0.3582 0.3582  1 Se 2.51
Sm1 0.5000 0.0190 0.0190  4 O 2.31-2.35

Record 7
Computed, not measured: a relaxed structure of Ta2Re13 at the PBE level of DFT.

Formation energy from the elements in meV/atom: -40
E in eV per atom: -12.387
Space-group type: P4_2/mnm (136)

Cell lengths 9.6441, 9.6441, 4.9836 Å; angles 90.00, 90.00, 90.00 degrees
Closest atoms and distances in Å follow each position.
Fractional positions:
Re1 0.3694 0.0352 0.0000  5 Re 2.61-2.71, 1 Ta 2.63
Re2 0.5638 0.2360 0.0000  10 Re 2.62-2.80
Re3 0.0352 0.3694 0.0000  5 Re 2.61-2.71, 1 Ta 2.63
Re4 0.7640 0.4362 0.0000  10 Re 2.62-2.80
Re5 0.5000 0.5000 0.0000  8 Re 2.62-2.79, 4 Ta 2.88
Re6 0.2360 0.5638 0.0000  10 Re 2.62-2.80
Re7 0.9648 0.6306 0.0000  5 Re 2.61-2.71, 1 Ta 2.63
Re8 0.4362 0.7640 0.0000  10 Re 2.62-2.80
Re9 0.6306 0.9648 0.0000  5 Re 2.61-2.71, 1 Ta 2.63
Re10 0.8170 0.1830 0.2478  2 Re 2.47-2.51
Re11 0.1830 0.8170 0.2478  2 Re 2.47-2.51
Re12 0.3170 0.3170 0.2522  2 Re 2.47-2.51
Re13 0.6830 0.6830 0.2522  2 Re 2.47-2.51
Re14 0.0000 0.0000 0.5000  8 Re 2.62-2.79, 4 Ta 2.88
Re15 0.2640 0.0638 0.5000  10 Re 2.62-2.80
Re16 0.5352 0.1306 0.5000  5 Re 2.61-2.71, 1 Ta 2.63
Re17 0.0638 0.2640 0.5000  10 Re 2.62-2.80
Re18 0.8694 0.4648 0.5000  5 Re 2.61-2.71, 1 Ta 2.63
Re19 0.1306 0.5352 0.5000  5 Re 2.61-2.71, 1 Ta 2.63
Re20 0.9362 0.7360 0.5000  10 Re 2.62-2.80
Re21 0.4648 0.8694 0.5000  5 Re 2.61-2.71, 1 Ta 2.63
Re22 0.7360 0.9362 0.5000  10 Re 2.62-2.80
Re23 0.3170 0.3170 0.7478  2 Re 2.47-2.51
Re24 0.6830 0.6830 0.7478  2 Re 2.47-2.51
Re25 0.8170 0.1830 0.7522  2 Re 2.47-2.51
Re26 0.1830 0.8170 0.7522  2 Re 2.47-2.51
Ta1 0.1056 0.1056 0.0000  4 Re 2.63-2.88, 1 Ta 2.88
Ta2 0.8944 0.8944 0.0000  4 Re 2.63-2.88, 1 Ta 2.88
Ta3 0.6056 0.3944 0.5000  4 Re 2.63-2.88, 1 Ta 2.88
Ta4 0.3944 0.6056 0.5000  4 Re 2.63-2.88, 1 Ta 2.88

Record 8
Computed, not measured: a relaxed structure of CdBiAsO at the PBE level of DFT.

Offset from the most stable computed form in meV/atom: 352.3
E in eV per atom: -3.757
Space-group type: P4/nmm (129)

Cell lengths 4.7047, 4.7047, 8.8127 Å; angles 90.00, 90.00, 90.00 degrees
Closest atoms and distances in Å follow each position.
Fractional positions:
As1 0.0000 0.5000 0.3072  4 Bi 2.90, 1 Cd 2.91
As2 0.5000 0.0000 0.6928  4 Bi 2.90, 1 Cd 2.91
Bi1 0.0000 0.0000 0.5000  4 As 2.90
Bi2 0.5000 0.5000 0.5000  4 As 2.90
Cd1 0.5000 0.0000 0.0236  4 O 2.36
Cd2 0.0000 0.5000 0.9764  4 O 2.36
O1 0.0000 0.0000 0.0000  4 Cd 2.36
O2 0.5000 0.5000 0.0000  4 Cd 2.36

Record 9
Computed, not measured: a relaxed structure of SnHgO3 at the PBE level of DFT.

E in eV per atom: -4.640
Space-group type: P4mm (99)

Cell lengths 4.0854, 4.0854, 4.1170 Å; angles 90.00, 90.00, 90.00 degrees
Closest atoms and distances in Å follow each position.
Fractional positions:
Hg1 0.0000 0.0000 0.9679  4 O 2.46
O1 0.5000 0.5000 0.0881  2 Sn 2.00-2.12
O2 0.5000 0.0000 0.6354  2 Sn 2.06
O3 0.0000 0.5000 0.6354  2 Sn 2.06
Sn1 0.5000 0.5000 0.5733  6 O 2.00-2.12

Record 10
Computed, not measured: a relaxed structure of Th2In at the PBE level of DFT.

E in eV per atom: -6.039
Space-group type: I4/mcm (140)

Cell lengths 6.3019, 6.3019, 6.3019 Å; angles 103.22, 103.22, 122.85 degrees
Closest atoms and distances in Å follow each position.
Fractional positions:
In1 0.2500 0.2500 0.0000  2 In 3.01, 8 Th 3.33
In2 0.7500 0.7500 0.0000  2 In 3.01, 8 Th 3.33
Th1 0.3474 0.8474 0.1948  4 In 3.33, 3 Th 3.38-3.71
Th2 0.1526 0.3474 0.5000  4 In 3.33, 3 Th 3.38-3.71
Th3 0.8474 0.6526 0.5000  4 In 3.33, 3 Th 3.38-3.71
Th4 0.6526 0.1526 0.8052  4 In 3.33, 3 Th 3.38-3.71

Record 11
Computed, not measured: a relaxed structure of KLuGaS3 at the PBE level of DFT.

E in eV per atom: -4.781
Space-group type: Cmcm (63)

Cell lengths 7.2335, 7.2335, 10.2668 Å; angles 90.00, 90.00, 145.63 degrees
Closest atoms and distances in Å follow each position.
Fractional positions:
Ga1 0.0169 0.9831 0.2500  4 S 2.38-2.40
Ga2 0.9831 0.0169 0.7500  4 S 2.38-2.40
K1 0.7547 0.2453 0.2500  8 S 3.32-3.66, 1 Ga 3.62
K2 0.2453 0.7547 0.7500  8 S 3.32-3.66, 1 Ga 3.62
Lu1 0.5000 0.5000 0.0000  6 S 2.70-2.78
Lu2 0.5000 0.5000 0.5000  6 S 2.70-2.78
S1 0.1194 0.8806 0.0634  1 Ga 2.38
S2 0.4384 0.5616 0.2500  2 Ga 2.40
S3 0.1194 0.8806 0.4366  1 Ga 2.38
S4 0.8806 0.1194 0.5634  1 Ga 2.38
S5 0.5616 0.4384 0.7500  2 Ga 2.40
S6 0.8806 0.1194 0.9366  1 Ga 2.38

Record 12
Computed, not measured: a relaxed structure of NbCdNO at the PBE level of DFT.

Offset from the most stable computed form in meV/atom: 375.5
E in eV per atom: -6.579
Space-group type: P4/nmm (129)

Cell lengths 4.1627, 4.1627, 6.3619 Å; angles 90.00, 90.00, 90.00 degrees
Closest atoms and distances in Å follow each position.
Fractional positions:
Cd1 0.7500 0.7500 0.1194  4 O 2.22
Cd2 0.2500 0.2500 0.8806  4 O 2.22
N1 0.2500 0.2500 0.4230  4 Nb 2.14
N2 0.7500 0.7500 0.5770  4 Nb 2.14
Nb1 0.7500 0.2500 0.5000  4 N 2.14
Nb2 0.2500 0.7500 0.5000  4 N 2.14
O1 0.7500 0.2500 0.0000  4 Cd 2.22
O2 0.2500 0.7500 0.0000  4 Cd 2.22